Below is a geometry-optimized YSbAs2 structure, with properties calculated at the PBE-GGA level.

The value obtained for the volume is 91.9 Å³/f.u. The value obtained for the calculated total energy is -0.3979 Ry/atom. The uncorrected formation energy comes out at -442 meV/atom.

It has space group Immm (No. 71), with a = 3.980 Å, b = 5.088 Å, c = 9.077 Å, α = 90.00°, β = 90.00° and γ = 90.00°. Symmetry generates all atoms from Y at (0.000, 0.000, 0.000), Sb at (0.000, 0.000, 0.500) and As at (0.000, 0.500, 0.225).

=====

Below is a geometry-optimized RbVGaTe3 structure, with properties calculated at the PBE-GGA level.

The value obtained for the volume is 195.2 Å³/f.u. The value obtained for the calculated total energy is -0.3115 Ry/atom. The uncorrected formation energy comes out at -481 meV/atom.

It has space group P2_1/m (No. 11), with a = 9.373 Å, b = 3.953 Å, c = 11.273 Å, α = 90.00°, β = 110.81° and γ = 90.00°. Symmetry generates all atoms from Rb at (0.232, 0.250, 0.275), V at (0.356, 0.750, 0.834), Ga at (0.111, 0.250, 0.564), Te at (0.140, 0.250, 0.813), Te at (0.334, 0.750, 0.586) and Te at (0.419, 0.750, 0.096).

=====

Below is a geometry-optimized Tm5Pt2Pb2 structure, with properties calculated at the PBE-GGA level.

The value obtained for the volume is 234.4 Å³/f.u. The value obtained for the calculated total energy is -0.4039 Ry/atom.

It has space group Cmce (No. 64), with a = 15.356 Å, b = 8.372 Å, c = 7.291 Å, α = 90.00°, β = 90.00° and γ = 90.00°. Symmetry generates all atoms from Tm at (0.000, 0.000, 0.000), Tm at (0.119, 0.177, 0.347), Pt at (0.000, 0.128, 0.639) and Pb at (0.215, 0.000, 0.000).

=====

Below is a geometry-optimized Pr2NbGe4Ir3 structure, with properties calculated at the PBE-GGA level.

The value obtained for the volume is 194.4 Å³/f.u. The value obtained for the calculated total energy is -0.5249 Ry/atom.

It has space group P-4m2 (No. 115), with a = 4.255 Å, b = 4.255 Å, c = 10.734 Å, α = 90.00°, β = 90.00° and γ = 90.00°. Symmetry generates all atoms from Pr at (0.000, 0.500, 0.240), Nb at (0.000, 0.000, 0.500), Ge at (0.000, 0.000, 0.000), Ge at (0.000, 0.500, 0.646), Ge at (0.500, 0.500, 0.000), Ir at (0.000, 0.500, 0.878) and Ir at (0.500, 0.500, 0.500).

=====

Below is a geometry-optimized K6Rb2TlO structure, with properties calculated at the PBE-GGA level.

The value obtained for the volume is 595.8 Å³/f.u. The value obtained for the calculated total energy is -0.1375 Ry/atom. The uncorrected formation energy comes out at -286 meV/atom.

It has space group I4mm (No. 107), with a = 8.067 Å, b = 8.067 Å, c = 18.312 Å, α = 90.00°, β = 90.00° and γ = 90.00°. Symmetry generates all atoms from K at (0.000, 0.000, 0.000), K at (0.000, 0.000, 0.495), K at (0.220, 0.220, 0.327), Rb at (0.000, 0.500, 0.125), Tl at (0.000, 0.000, 0.707) and O at (0.000, 0.000, 0.358).

=====

Below is a geometry-optimized Ac2ZnSiO6 structure, with properties calculated at the PBE-GGA level.

The value obtained for the volume is 122.9 Å³/f.u. The value obtained for the calculated total energy is -0.5336 Ry/atom. The uncorrected formation energy comes out at -2794 meV/atom.

It has space group P4mm (No. 99), with a = 5.533 Å, b = 5.533 Å, c = 4.016 Å, α = 90.00°, β = 90.00° and γ = 90.00°. Symmetry generates all atoms from Ac at (0.000, 0.500, 0.000), Zn at (0.000, 0.000, 0.512), Si at (0.500, 0.500, 0.483), O at (0.000, 0.000, 0.016), O at (0.275, 0.275, 0.532) and O at (0.500, 0.500, 0.050).

=====

Below is a geometry-optimized SrAcHgGe structure, with properties calculated at the PBE-GGA level.

The value obtained for the volume is 124.1 Å³/f.u. As for the energy above the lowest structure with this stoichiometry: 0.052 eV per atom. The value obtained for the calculated total energy is -0.2357 Ry/atom.

It has space group F-43m (No. 216), with a = 7.918 Å, b = 7.918 Å, c = 7.918 Å, α = 90.00°, β = 90.00° and γ = 90.00°. Symmetry generates all atoms from Sr at (0.000, 0.000, 0.000), Ac at (0.000, 0.000, 0.500), Hg at (0.250, 0.250, 0.750) and Ge at (0.250, 0.250, 0.250).

=====

Below is a geometry-optimized TlCd4Hg7 structure, with properties calculated at the PBE-GGA level.

The value obtained for the volume is 314.7 Å³/f.u. As for the energy above the lowest structure with this stoichiometry: 0.000 eV per atom. The value obtained for the calculated total energy is -0.0486 Ry/atom.

It has space group Cm (No. 8), with a = 15.541 Å, b = 3.446 Å, c = 13.558 Å, α = 90.00°, β = 119.90° and γ = 90.00°. Symmetry generates all atoms from Tl at (0.000, 0.000, 0.000), Cd at (0.227, 0.000, 0.516), Cd at (0.258, 0.500, 0.193), Cd at (0.280, 0.000, 0.890), Cd at (0.470, 0.000, 0.696), Hg at (0.020, 0.500, 0.401), Hg at (0.105, 0.000, 0.641), Hg at (0.126, 0.000, 0.265), Hg at (0.143, 0.500, 0.935), Hg at (0.324, 0.500, 0.734), Hg at (0.364, 0.500, 0.450) and Hg at (0.400, 0.000, 0.144).

=====

Below is a geometry-optimized YRe structure, with properties calculated at the PBE-GGA level.

The value obtained for the volume is 42.1 Å³/f.u. The value obtained for the calculated total energy is -0.6374 Ry/atom.

It has space group P2_13 (No. 198), with a = 5.520 Å, b = 5.520 Å, c = 5.520 Å, α = 90.00°, β = 90.00° and γ = 90.00°. Symmetry generates all atoms from Y at (0.093, 0.093, 0.093) and Re at (0.101, 0.601, 0.899).

=====

Below is a geometry-optimized Zn5AgPd structure, with properties calculated at the PBE-GGA level.

The value obtained for the volume is 115.4 Å³/f.u. As for the energy above the lowest structure with this stoichiometry: 0.049 eV per atom. The value obtained for the calculated total energy is -0.1602 Ry/atom.

It has space group P4/mmm (No. 123), with a = 4.588 Å, b = 4.588 Å, c = 5.480 Å, α = 90.00°, β = 90.00° and γ = 90.00°. Symmetry generates all atoms from Zn at (0.000, 0.000, 0.000), Zn at (0.000, 0.500, 0.266), Ag at (0.500, 0.500, 0.000) and Pd at (0.000, 0.000, 0.500).

=====

Below is a geometry-optimized Na3Sb4Pt4 structure, with properties calculated at the PBE-GGA level.

The value obtained for the volume is 244.4 Å³/f.u. As for the energy above the lowest structure with this stoichiometry: 0.002 eV per atom. The value obtained for the calculated total energy is -0.3278 Ry/atom. The uncorrected formation energy comes out at -405 meV/atom.

It has space group Immm (No. 71), with a = 4.259 Å, b = 7.730 Å, c = 14.844 Å, α = 90.00°, β = 90.00° and γ = 90.00°. Symmetry generates all atoms from Na at (0.000, 0.000, 0.000), Na at (0.000, 0.500, 0.109), Sb at (0.000, 0.290, 0.334), Pt at (0.000, 0.000, 0.215) and Pt at (0.000, 0.183, 0.500).

=====

Table of theoretical density (Mg/m³), in record order: 6.51 5.01 11.69 10.61 1.74 8.69 7.86 10.86 10.86 7.79 9.08